A | The following is a PBE calculation of a relaxed structure of PuTi2Au, from Alexandria via LeMat-Bulk.

```
data_PuTi2Au
_chemical_formula_sum 'Pu1 Ti2 Au1'
_cell_length_a 3.2191
_cell_length_b 3.2191
_cell_length_c 7.1588
_cell_angle_alpha 90.00
_cell_angle_beta 90.00
_cell_angle_gamma 90.00
_symmetry_space_group_name_H-M 'P 4/m m m'
_symmetry_Int_Tables_number 123
_symmetry_space_group_name_Hall '-P 4 2'
loop_
_atom_site_label
_atom_site_type_symbol
_atom_site_fract_x
_atom_site_fract_y
_atom_site_fract_z
Pu1 Pu 0.0000 0.0000 0.0000
Ti1 Ti 0.5000 0.5000 0.2658
Au1 Au 0.0000 0.0000 0.5000
```

volume = 18.5 Å³/atom
Fermi-level density of states = 1.1874 states/eV per atom

=====

B | The following is a PBE calculation of a relaxed structure of PuTi2Au, from Alexandria via LeMat-Bulk.

```
data_PuTi2Au
_chemical_formula_sum 'Pu1 Ti2 Au1'
_cell_length_a 4.8151
_cell_length_b 4.8151
_cell_length_c 3.1072
_cell_angle_alpha 90.00
_cell_angle_beta 90.00
_cell_angle_gamma 90.00
_symmetry_space_group_name_H-M 'P 4/m m m'
_symmetry_Int_Tables_number 123
_symmetry_space_group_name_Hall '-P 4 2'
loop_
_atom_site_label
_atom_site_type_symbol
_atom_site_fract_x
_atom_site_fract_y
_atom_site_fract_z
Pu1 Pu 0.0000 0.0000 0.0000
Ti1 Ti 0.0000 0.5000 0.5000
Au1 Au 0.5000 0.5000 0.0000
```

volume = 18.0 Å³/atom
Fermi-level density of states = 1.3151 states/eV per atom

=====

Best to worst by energy: B, A.

=====

A | The following is a PBE calculation of a relaxed structure of PuTiAu2, from Alexandria via LeMat-Bulk.

```
data_PuTiAu2
_chemical_formula_sum 'Pu1 Ti1 Au2'
_cell_length_a 3.1622
_cell_length_b 3.1622
_cell_length_c 7.9661
_cell_angle_alpha 90.00
_cell_angle_beta 90.00
_cell_angle_gamma 90.00
_symmetry_space_group_name_H-M 'P 4/m m m'
_symmetry_Int_Tables_number 123
_symmetry_space_group_name_Hall '-P 4 2'
loop_
_atom_site_label
_atom_site_type_symbol
_atom_site_fract_x
_atom_site_fract_y
_atom_site_fract_z
Pu1 Pu 0.0000 0.0000 0.0000
Ti1 Ti 0.0000 0.0000 0.5000
Au1 Au 0.5000 0.5000 0.2889
```

volume = 19.9 Å³/atom
Fermi-level density of states = 1.8753 states/eV per atom

=====

B | The following is a PBE calculation of a relaxed structure of PuTiAu2, from Alexandria via LeMat-Bulk.

```
data_PuTiAu2
_chemical_formula_sum 'Pu1 Ti1 Au2'
_cell_length_a 5.1372
_cell_length_b 5.1372
_cell_length_c 3.1291
_cell_angle_alpha 90.00
_cell_angle_beta 90.00
_cell_angle_gamma 90.00
_symmetry_space_group_name_H-M 'P 4/m m m'
_symmetry_Int_Tables_number 123
_symmetry_space_group_name_Hall '-P 4 2'
loop_
_atom_site_label
_atom_site_type_symbol
_atom_site_fract_x
_atom_site_fract_y
_atom_site_fract_z
Pu1 Pu 0.0000 0.0000 0.0000
Ti1 Ti 0.5000 0.5000 0.0000
Au1 Au 0.0000 0.5000 0.5000
```

volume = 20.6 Å³/atom
Fermi-level density of states = 2.7054 states/eV per atom

=====

Best to worst by energy: A, B.

=====

A | The following is a PBE calculation of a relaxed structure of Pu2TiAu, from Alexandria via LeMat-Bulk.

```
data_Pu2TiAu
_chemical_formula_sum 'Pu2 Ti1 Au1'
_cell_length_a 3.8686
_cell_length_b 3.8686
_cell_length_c 6.0804
_cell_angle_alpha 90.00
_cell_angle_beta 90.00
_cell_angle_gamma 90.00
_symmetry_space_group_name_H-M 'P 4/m m m'
_symmetry_Int_Tables_number 123
_symmetry_space_group_name_Hall '-P 4 2'
loop_
_atom_site_label
_atom_site_type_symbol
_atom_site_fract_x
_atom_site_fract_y
_atom_site_fract_z
Pu1 Pu 0.0000 0.0000 0.2442
Ti1 Ti 0.5000 0.5000 0.5000
Au1 Au 0.5000 0.5000 0.0000
```

volume = 22.7 Å³/atom
Fermi-level density of states = 2.8749 states/eV per atom

=====

B | The following is a PBE calculation of a relaxed structure of Pu2TiAu, from Alexandria via LeMat-Bulk.

```
data_Pu2TiAu
_chemical_formula_sum 'Pu2 Ti1 Au1'
_cell_length_a 4.1846
_cell_length_b 4.1846
_cell_length_c 4.8067
_cell_angle_alpha 90.00
_cell_angle_beta 90.00
_cell_angle_gamma 90.00
_symmetry_space_group_name_H-M 'P 4/m m m'
_symmetry_Int_Tables_number 123
_symmetry_space_group_name_Hall '-P 4 2'
loop_
_atom_site_label
_atom_site_type_symbol
_atom_site_fract_x
_atom_site_fract_y
_atom_site_fract_z
Pu1 Pu 0.0000 0.5000 0.0000
Ti1 Ti 0.0000 0.0000 0.5000
Au1 Au 0.5000 0.5000 0.5000
```

volume = 21.0 Å³/atom
Fermi-level density of states = 2.4773 states/eV per atom

=====

Best to worst by energy: B, A.

=====

A | The following is a PBE calculation of a relaxed structure of PuTl2Au, from Alexandria via LeMat-Bulk.

```
data_PuTl2Au
_chemical_formula_sum 'Pu4 Tl8 Au4'
_cell_length_a 4.9180
_cell_length_b 4.9180
_cell_length_c 16.9223
_cell_angle_alpha 90.00
_cell_angle_beta 90.00
_cell_angle_gamma 90.00
_symmetry_space_group_name_H-M 'I 4/m m m'
_symmetry_Int_Tables_number 139
_symmetry_space_group_name_Hall '-I 4 2'
loop_
_atom_site_label
_atom_site_type_symbol
_atom_site_fract_x
_atom_site_fract_y
_atom_site_fract_z
Pu1 Pu 0.0000 0.0000 0.1395
Tl1 Tl 0.0000 0.0000 0.3617
Tl2 Tl 0.0000 0.5000 0.0000
Au1 Au 0.0000 0.5000 0.2500
```

volume = 25.6 Å³/atom
Fermi-level density of states = 3.7647 states/eV per atom

=====

B | The following is a PBE calculation of a relaxed structure of PuTl2Au, from Alexandria via LeMat-Bulk.

```
data_PuTl2Au
_chemical_formula_sum 'Pu1 Tl2 Au1'
_cell_length_a 4.5590
_cell_length_b 4.5590
_cell_length_c 4.9428
_cell_angle_alpha 90.00
_cell_angle_beta 90.00
_cell_angle_gamma 90.00
_symmetry_space_group_name_H-M 'P 4/m m m'
_symmetry_Int_Tables_number 123
_symmetry_space_group_name_Hall '-P 4 2'
loop_
_atom_site_label
_atom_site_type_symbol
_atom_site_fract_x
_atom_site_fract_y
_atom_site_fract_z
Pu1 Pu 0.0000 0.0000 0.0000
Tl1 Tl 0.0000 0.5000 0.5000
Au1 Au 0.5000 0.5000 0.0000
```

volume = 25.7 Å³/atom
Fermi-level density of states = 3.6808 states/eV per atom

=====

C | The following is a PBE calculation of a relaxed structure of PuTl2Au, from Alexandria via LeMat-Bulk.

```
data_PuTl2Au
_chemical_formula_sum 'Pu2 Tl4 Au2'
_cell_length_a 6.1746
_cell_length_b 3.5540
_cell_length_c 9.7751
_cell_angle_alpha 90.00
_cell_angle_beta 102.23
_cell_angle_gamma 90.00
_symmetry_space_group_name_H-M 'C 1 m 1'
_symmetry_Int_Tables_number 8
_symmetry_space_group_name_Hall 'C -2y'
loop_
_atom_site_label
_atom_site_type_symbol
_atom_site_fract_x
_atom_site_fract_y
_atom_site_fract_z
Pu1 Pu 0.0000 0.0000 0.0000
Tl1 Tl 0.2397 0.0000 0.7200
Tl2 Tl 0.4262 0.0000 0.2794
Au1 Au 0.3327 0.5000 0.4996
```

volume = 26.2 Å³/atom
Fermi-level density of states = 2.4607 states/eV per atom

=====

Best to worst by energy: A, B, C.

=====

A | The following is a PBE calculation of a relaxed structure of PuTl2Au, from Alexandria via LeMat-Bulk.

```
data_PuTl2Au
_chemical_formula_sum 'Pu4 Tl8 Au4'
_cell_length_a 7.3461
_cell_length_b 7.3461
_cell_length_c 7.3461
_cell_angle_alpha 90.00
_cell_angle_beta 90.00
_cell_angle_gamma 90.00
_symmetry_space_group_name_H-M 'F m -3 m'
_symmetry_Int_Tables_number 225
_symmetry_space_group_name_Hall '-F 4 2 3'
loop_
_atom_site_label
_atom_site_type_symbol
_atom_site_fract_x
_atom_site_fract_y
_atom_site_fract_z
Pu1 Pu 0.0000 0.0000 0.0000
Tl1 Tl 0.2500 0.2500 0.2500
Au1 Au 0.0000 0.0000 0.5000
```

volume = 24.8 Å³/atom
Fermi-level density of states = 3.4768 states/eV per atom

=====

B | The following is a PBE calculation of a relaxed structure of PuTl2Au, from Alexandria via LeMat-Bulk.

```
data_PuTl2Au
_chemical_formula_sum 'Pu3 Tl6 Au3'
_cell_length_a 3.3857
_cell_length_b 3.3857
_cell_length_c 33.3404
_cell_angle_alpha 90.00
_cell_angle_beta 90.00
_cell_angle_gamma 120.00
_symmetry_space_group_name_H-M 'R -3 m'
_symmetry_Int_Tables_number 166
_symmetry_space_group_name_Hall '-R 3 2"'
loop_
_atom_site_label
_atom_site_type_symbol
_atom_site_fract_x
_atom_site_fract_y
_atom_site_fract_z
Pu1 Pu 0.0000 0.0000 0.0000
Tl1 Tl 0.0000 0.0000 0.0977
Au1 Au 0.0000 0.0000 0.5000
```

volume = 27.6 Å³/atom
Fermi-level density of states = 2.5406 states/eV per atom

=====

Best to worst by energy: A, B.

=====

A | The following is a PBE calculation of a relaxed structure of TmPuAu, from Alexandria via LeMat-Bulk.

```
data_TmPuAu
_chemical_formula_sum 'Tm1 Pu1 Au1'
_cell_length_a 4.9788
_cell_length_b 4.9788
_cell_length_c 3.4413
_cell_angle_alpha 90.00
_cell_angle_beta 90.00
_cell_angle_gamma 120.00
_symmetry_space_group_name_H-M 'P 3 m 1'
_symmetry_Int_Tables_number 156
_symmetry_space_group_name_Hall 'P 3 -2"'
loop_
_atom_site_label
_atom_site_type_symbol
_atom_site_fract_x
_atom_site_fract_y
_atom_site_fract_z
Tm1 Tm 0.0000 0.0000 0.0000
Pu1 Pu 0.3333 0.6667 0.4257
Au1 Au 0.6667 0.3333 0.7508
```

volume = 24.6 Å³/atom
Fermi-level density of states = 2.8920 states/eV per atom

=====

B | The following is a PBE calculation of a relaxed structure of TmPuAu, from Alexandria via LeMat-Bulk.

```
data_TmPuAu
_chemical_formula_sum 'Tm4 Pu4 Au4'
_cell_length_a 3.6848
_cell_length_b 16.0404
_cell_length_c 4.8527
_cell_angle_alpha 90.00
_cell_angle_beta 90.00
_cell_angle_gamma 90.00
_symmetry_space_group_name_H-M 'C m c m'
_symmetry_Int_Tables_number 63
_symmetry_space_group_name_Hall '-C 2c 2'
loop_
_atom_site_label
_atom_site_type_symbol
_atom_site_fract_x
_atom_site_fract_y
_atom_site_fract_z
Tm1 Tm 0.0000 0.0748 0.2500
Pu1 Pu 0.0000 0.2411 0.7500
Au1 Au 0.0000 0.4178 0.2500
```

volume = 23.9 Å³/atom
Fermi-level density of states = 2.5770 states/eV per atom

=====

C | The following is a PBE calculation of a relaxed structure of TmPuAu, from Alexandria via LeMat-Bulk.

```
data_TmPuAu
_chemical_formula_sum 'Tm2 Pu2 Au2'
_cell_length_a 3.5351
_cell_length_b 3.5351
_cell_length_c 12.3615
_cell_angle_alpha 90.00
_cell_angle_beta 90.00
_cell_angle_gamma 90.00
_symmetry_space_group_name_H-M 'I 4 m m'
_symmetry_Int_Tables_number 107
_symmetry_space_group_name_Hall 'I 4 -2'
loop_
_atom_site_label
_atom_site_type_symbol
_atom_site_fract_x
_atom_site_fract_y
_atom_site_fract_z
Tm1 Tm 0.0000 0.0000 0.0000
Pu1 Pu 0.0000 0.0000 0.7067
Au1 Au 0.0000 0.0000 0.3710
```

volume = 25.7 Å³/atom
Fermi-level density of states = 2.8151 states/eV per atom

=====

Best to worst by energy: B, C, A.